! TaTcGe2Pt | the Alexandria database | PBE-GGA | relaxed; values from VASP
! - space group = P4/mmm
! - V (A^3/atom) = 21.60
! - energy (eV per atom) = -6.22
! - calculated density (Mg/m³) = 9.52
! - magnetic moment (μB per cell) = 0.00
! - energy of formation from the pure elements (eV per atom) = 1.277
&SYSTEM
  ibrav = 0, nat = 5, ntyp = 4
/
ATOMIC_SPECIES
Ge 72.64 Ge.upf
Tc 98.00 Tc.upf
Pt 195.08 Pt.upf
Ta 180.95 Ta.upf
ATOMIC_POSITIONS crystal
Ge 0.000 0.000 0.500
Ge 0.500 0.000 0.000
Tc 0.500 0.500 0.500
Pt 0.000 0.000 0.000
Ta 0.000 0.500 0.000
CELL_PARAMETERS angstrom
-2.009 3.722 1.768
-2.797 -2.987 3.111
3.280 0.254 3.192

! Na8HgTe6 | the Alexandria database | PBE-GGA | relaxed; values from VASP
! - space group = Pmn2_1
! - V (A^3/atom) = 35.97
! - energy (eV per atom) = -2.66
! - calculated density (Mg/m³) = 3.54
! - uncorrected formation energy (eV/atom) = -0.68
! - magnetic moment (μB per cell) = 0.00
&SYSTEM
  ibrav = 0, nat = 30, ntyp = 3
/
ATOMIC_SPECIES
Na 22.99 Na.upf
Hg 200.59 Hg.upf
Te 127.60 Te.upf
ATOMIC_POSITIONS crystal
Na 0.403 0.000 0.944
Na 0.597 0.500 0.444
Na 0.929 0.782 0.175
Na 0.071 0.718 0.675
Na 0.071 0.282 0.675
Na 0.929 0.218 0.175
Na 0.451 0.731 0.683
Na 0.549 0.769 0.183
Na 0.549 0.231 0.183
Na 0.451 0.269 0.683
Na 0.770 0.791 0.852
Na 0.230 0.709 0.352
Na 0.230 0.291 0.352
Na 0.770 0.209 0.852
Na 0.255 0.000 0.528
Na 0.745 0.500 0.028
Hg 0.746 0.000 0.405
Hg 0.254 0.500 0.905
Te 0.714 0.000 0.035
Te 0.286 0.500 0.535
Te 0.252 0.000 0.748
Te 0.748 0.500 0.248
Te 0.026 0.000 0.353
Te 0.974 0.500 0.853
Te 0.465 0.000 0.356
Te 0.535 0.500 0.856
Te 0.240 0.667 0.122
Te 0.760 0.833 0.622
Te 0.760 0.167 0.622
Te 0.240 0.333 0.122
CELL_PARAMETERS angstrom
-0.318 8.930 2.933
2.556 -2.417 7.635
12.994 1.714 -3.807

! TaNiIr2 | the Alexandria database | PBE-GGA | relaxed; values from VASP
! - space group = R3m
! - V (A^3/atom) = 14.68
! - energy (eV per atom) = -8.84
! - calculated density (Mg/m³) = 17.65
! - magnetic moment (μB per cell) = 0.55
! - energy of formation from the pure elements (eV per atom) = 0.002
&SYSTEM
  ibrav = 0, nat = 4, ntyp = 3
/
ATOMIC_SPECIES
Ir 192.22 Ir.upf
Ni 58.69 Ni.upf
Ta 180.95 Ta.upf
ATOMIC_POSITIONS crystal
Ir 0.999 0.999 0.999
Ir 0.247 0.247 0.247
Ni 0.502 0.502 0.502
Ta 0.752 0.752 0.752
CELL_PARAMETERS angstrom
8.995 -0.006 -0.004
8.571 2.728 -0.004
8.571 1.328 2.383

! MgCd4Mo | the Alexandria database | PBE-GGA | relaxed; values from VASP
! - space group = F-43m
! - V (A^3/atom) = 21.32
! - energy (eV per atom) = -2.25
! - calculated density (Mg/m³) = 7.40
! - magnetic moment (μB per cell) = 3.49
! - energy of formation from the pure elements (eV per atom) = 0.426
&SYSTEM
  ibrav = 0, nat = 6, ntyp = 3
/
ATOMIC_SPECIES
Mg 24.30 Mg.upf
Cd 112.41 Cd.upf
Mo 95.94 Mo.upf
ATOMIC_POSITIONS crystal
Mg 0.750 0.750 0.750
Cd 0.876 0.375 0.375
Cd 0.375 0.375 0.876
Cd 0.375 0.876 0.375
Cd 0.375 0.375 0.375
Mo 0.000 0.000 0.000
CELL_PARAMETERS angstrom
-5.597 0.712 0.389
-2.698 3.289 -3.727
-3.421 -2.319 -3.861

! SrDyCd4 | the Alexandria database | PBE-GGA | relaxed; values from VASP
! - space group = F-43m
! - V (A^3/atom) = 26.01
! - energy (eV per atom) = -1.90
! - calculated density (Mg/m³) = 7.45
! - magnetic moment (μB per cell) = 0.00
! - energy of formation from the pure elements (eV per atom) = -0.239
! - polymorph energy (0 for the lowest one) (eV/atom) = 0.0592
&SYSTEM
  ibrav = 0, nat = 6, ntyp = 3
/
ATOMIC_SPECIES
Sr 87.62 Sr.upf
Cd 112.41 Cd.upf
Dy 162.50 Dy.upf
ATOMIC_POSITIONS crystal
Sr 0.250 0.250 0.250
Cd 0.626 0.626 0.123
Cd 0.626 0.123 0.626
Cd 0.626 0.626 0.626
Cd 0.123 0.626 0.626
Dy 0.000 0.000 0.000
CELL_PARAMETERS angstrom
6.043 0.000 0.000
3.022 5.234 0.000
3.022 1.745 4.934

! Ba3Sb5Te12 | the Alexandria database | PBE-GGA | relaxed; values from VASP
! - space group = Ia-3d
! - V (A^3/atom) = 41.62
! - energy (eV per atom) = -3.70
! - calculated density (Mg/m³) = 5.09
! - uncorrected formation energy (eV/atom) = -0.50
! - magnetic moment (μB per cell) = 0.00
&SYSTEM
  ibrav = 0, nat = 80, ntyp = 3
/
ATOMIC_SPECIES
Ba 137.33 Ba.upf
Sb 121.76 Sb.upf
Te 127.60 Te.upf
ATOMIC_POSITIONS crystal
Ba 0.750 0.375 0.125
Ba 0.875 0.750 0.125
Ba 0.375 0.750 0.625
Ba 0.250 0.125 0.375
Ba 0.875 0.125 0.250
Ba 0.375 0.625 0.250
Ba 0.625 0.375 0.750
Ba 0.125 0.875 0.750
Ba 0.750 0.875 0.625
Ba 0.625 0.250 0.375
Ba 0.125 0.250 0.875
Ba 0.250 0.625 0.875
Sb 0.125 0.375 0.250
Sb 0.000 0.500 0.000
Sb 0.000 0.000 0.000
Sb 0.375 0.250 0.125
Sb 0.500 0.000 0.500
Sb 0.500 0.500 0.000
Sb 0.125 0.750 0.375
Sb 0.750 0.125 0.875
Sb 0.750 0.625 0.375
Sb 0.375 0.125 0.750
Sb 0.625 0.875 0.250
Sb 0.500 0.500 0.500
Sb 0.500 0.000 0.000
Sb 0.000 0.000 0.500
Sb 0.250 0.375 0.625
Sb 0.250 0.875 0.125
Sb 0.000 0.500 0.500
Sb 0.875 0.250 0.625
Sb 0.625 0.750 0.875
Sb 0.875 0.625 0.750
Te 0.707 0.123 0.034
Te 0.326 0.534 0.410
Te 0.966 0.377 0.293
Te 0.534 0.207 0.123
Te 0.584 0.707 0.674
Te 0.966 0.590 0.174
Te 0.326 0.793 0.416
Te 0.090 0.916 0.123
Te 0.590 0.966 0.674
Te 0.707 0.584 0.174
Te 0.793 0.466 0.377
Te 0.826 0.910 0.034
Te 0.123 0.707 0.534
Te 0.377 0.410 0.084
Te 0.084 0.910 0.377
Te 0.416 0.123 0.590
Te 0.084 0.174 0.207
Te 0.466 0.674 0.090
Te 0.826 0.916 0.293
Te 0.123 0.416 0.090
Te 0.377 0.966 0.793
Te 0.590 0.623 0.416
Te 0.910 0.826 0.534
Te 0.793 0.326 0.916
Te 0.410 0.377 0.584
Te 0.090 0.174 0.466
Te 0.207 0.674 0.084
Te 0.174 0.084 0.707
Te 0.623 0.034 0.207
Te 0.877 0.584 0.910
Te 0.534 0.326 0.910
Te 0.584 0.877 0.410
Te 0.916 0.826 0.793
Te 0.916 0.090 0.623
Te 0.877 0.293 0.466
Te 0.174 0.090 0.966
Te 0.623 0.590 0.916
Te 0.410 0.034 0.326
Te 0.293 0.416 0.826
Te 0.207 0.534 0.623
Te 0.910 0.084 0.877
Te 0.674 0.207 0.584
Te 0.466 0.793 0.877
Te 0.034 0.410 0.826
Te 0.416 0.293 0.326
Te 0.034 0.623 0.707
Te 0.674 0.466 0.590
Te 0.293 0.877 0.966
CELL_PARAMETERS angstrom
-15.599 -1.403 -4.492
7.189 -14.604 -0.704
0.771 5.703 15.243

! K5Dy2F12 | the Alexandria database | PBE-GGA | relaxed; values from VASP
! - space group = C2/m
! - V (A^3/atom) = 18.53
! - energy (eV per atom) = -5.15
! - calculated density (Mg/m³) = 3.53
! - uncorrected formation energy (eV/atom) = -3.19
! - magnetic moment (μB per cell) = 1.17
&SYSTEM
  ibrav = 0, nat = 19, ntyp = 3
/
ATOMIC_SPECIES
K 39.10 K.upf
Dy 162.50 Dy.upf
F 19.00 F.upf
ATOMIC_POSITIONS crystal
K 0.048 0.242 0.242
K 0.542 0.350 0.350
K 0.500 0.000 0.000
K 0.458 0.650 0.650
K 0.952 0.758 0.758
Dy 0.000 0.746 0.254
Dy 0.000 0.254 0.746
F 0.866 0.072 0.072
F 0.227 0.175 0.559
F 0.227 0.559 0.175
F 0.766 0.094 0.698
F 0.766 0.698 0.094
F 0.864 0.441 0.441
F 0.136 0.559 0.559
F 0.234 0.906 0.302
F 0.234 0.302 0.906
F 0.773 0.825 0.441
F 0.773 0.441 0.825
F 0.134 0.928 0.928
CELL_PARAMETERS angstrom
6.593 -0.263 1.046
0.538 7.049 3.178
-0.442 0.560 7.718

! Pm2AgGe4Pt3 | the Alexandria database | PBE-GGA | relaxed; values from VASP
! - space group = P-4m2
! - V (A^3/atom) = 19.55
! - energy (eV per atom) = -5.70
! - calculated density (Mg/m³) = 10.82
! - magnetic moment (μB per cell) = 0.00
! - energy of formation from the pure elements (eV per atom) = -0.807
&SYSTEM
  ibrav = 0, nat = 10, ntyp = 4
/
ATOMIC_SPECIES
Pm 145.00 Pm.upf
Ag 107.87 Ag.upf
Ge 72.64 Ge.upf
Pt 195.08 Pt.upf
ATOMIC_POSITIONS crystal
Pm 0.500 0.000 0.249
Pm 0.000 0.500 0.751
Ag 0.500 0.500 0.500
Ge 0.500 0.500 0.000
Ge 0.000 0.000 0.000
Ge 0.500 0.000 0.639
Ge 0.000 0.500 0.361
Pt 0.000 0.000 0.500
Pt 0.500 0.000 0.878
Pt 0.000 0.500 0.122
CELL_PARAMETERS angstrom
-3.721 2.001 -1.109
-2.287 -3.306 1.709
-0.132 4.777 9.066